[1]
The following is a DFT calculation (PBE-GGA) of Na2GaPSe4 after structural relaxation.

Output
The total magnetization comes out at 0.000 μB/atom. Its formation energy (no corrections) is -0.53 eV/atom.

Cell lengths 6.9309, 6.9309, 6.9309 Å; angles 86.84, 121.84, 121.84 degrees
With the nearest neighbours (Å) after each atom.
Sites, in units of the cell vectors:
Na 0.5000 0.7500 0.2500  4 Se 2.98
Na 0.0000 0.0000 0.0000  4 Se 2.90
Ga 0.5000 0.2500 0.7500  4 Se 2.45
P 0.0000 0.5000 0.5000  4 Se 2.51
Se 0.5466 0.3651 0.4290  1 Ga 2.45, 1 P 2.51
Se 0.0639 0.1815 0.6349  1 Ga 2.45, 1 P 2.51
Se 0.9361 0.5710 0.1176  1 Ga 2.45, 1 P 2.51
Se 0.4534 0.8824 0.8185  1 Ga 2.45, 1 P 2.51

***

[2]
The following is a DFT calculation (PBE-GGA) of As2OsSe after structural relaxation.

Output
The total magnetization comes out at 0.000 μB/atom. Its formation energy (no corrections) is 0.43 eV/atom.

Cell lengths 2.8481, 2.8481, 10.4211 Å; angles 90.00, 90.00, 116.78 degrees
With the nearest neighbours (Å) after each atom.
Sites, in units of the cell vectors:
As 0.0000 0.0000 0.0486  2 Os 2.58, 4 As 2.85
As 0.0000 0.0000 0.4514  2 Os 2.58, 4 As 2.85
Os 0.5000 0.5000 0.2500  4 As 2.58, 4 Os 2.85
Se 0.5000 0.5000 0.7500  6 Se 2.85-2.99

***

[3]
The following is a DFT calculation (PBE-GGA) of YAlRh2 after structural relaxation.

Output
As for the energy relative to the elements: -16.60 kcal/mol of atoms. The total magnetization comes out at 0.000 μB/atom.

Cell lengths 5.4952, 5.4952, 5.4952 Å; angles 143.82, 134.87, 59.16 degrees
With the nearest neighbours (Å) after each atom.
Sites, in units of the cell vectors:
Y 0.4983 0.4983 0.0000  6 Rh 2.72-3.00
Rh 0.0161 0.0161 0.0000  2 Al 2.65, 4 Y 2.72
Rh 0.7570 0.2570 0.5000  4 Al 2.73, 2 Y 3.00, 2 Rh 3.01
Al 0.2286 0.7286 0.5000  6 Rh 2.65-2.73